! LaCoOs2, relaxed, DFT PBE; values from VASP
! Calculated volume   20.817 Å³/atom
! Relative energy among the computed polymorphs   0.0 meV/atom
! Space group   No. 160
! Energy of formation from the pure elements   0.029 eV per atom
&SYSTEM
  ibrav = 0, nat = 4, ntyp = 3
/
ATOMIC_SPECIES
La 138.91 La.upf
Co 58.93 Co.upf
Os 190.23 Os.upf
CELL_PARAMETERS angstrom
2.1615 1.2479 5.1449
-2.1615 1.2479 5.1449
0.0000 -2.4959 5.1449
ATOMIC_POSITIONS angstrom
La 0.0000 0.0000 0.0000
Co 0.0000 0.0000 12.5334
Os 0.0000 0.0000 2.8893
Os 0.0000 0.0000 7.7816